Entry 1:
Compound: Ho2Te3
Source: Alexandria via LeMat-Bulk
Functional: PBE
Structure: optimized geometry

Cell: 7.949 7.949 7.685 Å, 107.61 107.61 114.52°
Atoms (fractional coordinates):
1 Ho 0.331 0.604 0.094
2 Ho 0.511 0.237 0.906
3 Ho 0.487 0.261 0.406
4 Ho 0.854 0.081 0.594
5 Te 0.738 0.633 0.342
6 Te 0.292 0.397 0.658
7 Te 0.647 0.042 0.158
8 Te 0.883 0.488 0.842
9 Te 0.128 0.128 0.000
10 Te 0.378 0.878 0.500

=====

Entry 2:
Compound: Ho7Te5
Source: Alexandria via LeMat-Bulk
Functional: PBE
Structure: optimized geometry

Cell: 4.048 7.192 13.111 Å, 103.48 90.00 106.35°
Atoms (fractional coordinates):
1 Ho 0.253 0.505 0.661
2 Ho 0.747 0.495 0.339
3 Ho 0.999 0.998 0.223
4 Ho 0.001 0.002 0.777
5 Ho 0.666 0.331 0.056
6 Ho 0.500 0.000 0.500
7 Ho 0.334 0.669 0.944
8 Te 0.133 0.267 0.436
9 Te 0.867 0.733 0.564
10 Te 0.322 0.643 0.186
11 Te 0.678 0.357 0.814
12 Te 0.000 0.000 0.000

=====

Entry 3:
Compound: HoTe2
Source: Alexandria via LeMat-Bulk
Functional: PBE
Structure: optimized geometry

Cell: 4.432 4.432 8.861 Å, 90.00 90.00 90.00°
Atoms (fractional coordinates):
1 Ho 0.250 0.250 0.271
2 Ho 0.750 0.750 0.729
3 Te 0.750 0.250 0.000
4 Te 0.250 0.750 0.000
5 Te 0.250 0.250 0.628
6 Te 0.750 0.750 0.372

=====

Entry 4:
Compound: Ho3Te
Source: Alexandria via LeMat-Bulk
Functional: PBE
Structure: optimized geometry

Summary:
- energy above the lowest structure with this stoichiometry (eV/atom) = 0.052

Cell: 3.839 7.370 8.469 Å, 94.18 90.00 90.00°
Atoms (fractional coordinates):
1 Ho 0.750 0.227 0.433
2 Ho 0.750 0.082 0.843
3 Ho 0.750 0.640 0.895
4 Ho 0.250 0.773 0.567
5 Ho 0.250 0.918 0.157
6 Ho 0.250 0.360 0.105
7 Te 0.250 0.374 0.702
8 Te 0.750 0.626 0.298

=====

Entry 5:
Compound: HoTe4
Source: Alexandria via LeMat-Bulk
Functional: PBE
Structure: optimized geometry

Cell: 5.786 5.786 5.786 Å, 90.00 90.00 90.00°
Atoms (fractional coordinates):
1 Te 0.000 0.000 0.000
2 Te 0.500 0.000 0.500
3 Te 0.000 0.500 0.500
4 Te 0.500 0.500 0.000
5 Ho 0.500 0.500 0.500

=====

Entry 6:
Compound: Ho4Te
Source: Alexandria via LeMat-Bulk
Functional: PBE
Structure: optimized geometry

Cell: 5.655 5.655 5.655 Å, 90.00 90.00 90.00°
Last column: magnetic moment on the atom in μB.
Atoms (fractional coordinates):
1 Te 0.500 0.500 0.500  0.01
2 Ho 0.000 0.000 0.000  0.09
3 Ho 0.500 0.000 0.500  0.09
4 Ho 0.000 0.500 0.500  0.09
5 Ho 0.500 0.500 0.000  0.09

=====

Entry 7:
Compound: Ho2Te
Source: Alexandria via LeMat-Bulk
Functional: PBE
Structure: optimized geometry

Cell: 3.911 8.204 10.607 Å, 90.00 90.00 90.00°
Atoms (fractional coordinates):
1 Ho 0.750 0.501 0.659
2 Ho 0.250 0.999 0.159
3 Ho 0.750 0.001 0.841
4 Ho 0.250 0.499 0.341
5 Ho 0.750 0.342 0.055
6 Ho 0.250 0.158 0.555
7 Ho 0.750 0.842 0.445
8 Ho 0.250 0.658 0.945
9 Te 0.750 0.699 0.171
10 Te 0.250 0.801 0.671
11 Te 0.750 0.199 0.329
12 Te 0.250 0.301 0.829

=====

Entry 8:
Compound: Ho2Te
Source: Alexandria via LeMat-Bulk
Functional: PBE
Structure: optimized geometry

Cell: 3.920 6.114 15.126 Å, 90.00 90.00 90.00°
Atoms (fractional coordinates):
1 Ho 0.750 0.272 0.023
2 Ho 0.250 0.772 0.477
3 Ho 0.750 0.228 0.523
4 Ho 0.250 0.728 0.977
5 Ho 0.750 0.472 0.806
6 Ho 0.250 0.972 0.694
7 Ho 0.750 0.028 0.306
8 Ho 0.250 0.528 0.194
9 Te 0.750 0.521 0.352
10 Te 0.250 0.021 0.148
11 Te 0.750 0.979 0.852
12 Te 0.250 0.479 0.648

=====

Entry 9:
Compound: Ho3Te
Source: Alexandria via LeMat-Bulk
Functional: PBE
Structure: optimized geometry

Summary:
- energy above the lowest structure with this stoichiometry (eV/atom) = 0.280

Cell: 3.742 3.763 9.354 Å, 90.00 90.00 90.00°
Last column: magnetic moment on the atom in μB.
Atoms (fractional coordinates):
1 Te 0.000 0.000 0.988  0.01
2 Ho 0.000 0.500 0.473  0.37
3 Ho 0.500 0.500 0.153  0.13
4 Ho 0.500 0.000 0.719  0.17

=====

Entry 10:
Compound: Ho2Te5
Source: Alexandria via LeMat-Bulk
Functional: PBE
Structure: optimized geometry

Cell: 22.245 22.245 4.375 Å, 90.00 90.00 168.72°
Atoms (fractional coordinates):
1 Te 0.953 0.047 0.750
2 Te 0.047 0.953 0.250
3 Te 0.547 0.453 0.750
4 Te 0.453 0.547 0.250
5 Te 0.750 0.250 0.750
6 Te 0.250 0.750 0.250
7 Te 0.175 0.825 0.750
8 Te 0.825 0.175 0.250
9 Te 0.376 0.624 0.750
10 Te 0.624 0.376 0.250
11 Ho 0.103 0.897 0.750
12 Ho 0.897 0.103 0.250
13 Ho 0.305 0.695 0.750
14 Ho 0.695 0.305 0.250

=====

Entry 11:
Compound: Ho4ThTe5
Source: Alexandria via LeMat-Bulk
Functional: PBE
Structure: optimized geometry

Cell: 4.344 4.344 15.949 Å, 97.83 97.83 90.00°
Atoms (fractional coordinates):
1 Ho 0.406 0.406 0.812
2 Ho 0.791 0.791 0.582
3 Ho 0.209 0.209 0.418
4 Ho 0.594 0.594 0.188
5 Th 0.000 0.000 0.000
6 Te 0.105 0.105 0.211
7 Te 0.500 0.500 0.000
8 Te 0.895 0.895 0.789
9 Te 0.306 0.306 0.612
10 Te 0.694 0.694 0.388

=====

Entry 12:
Compound: Ho3ThTe6
Source: Alexandria via LeMat-Bulk
Functional: PBE
Structure: optimized geometry

Cell: 4.326 12.442 12.798 Å, 108.70 90.00 90.00°
Atoms (fractional coordinates):
1 Ho 0.750 0.430 0.837
2 Ho 0.250 0.570 0.163
3 Ho 0.750 0.680 0.502
4 Ho 0.250 0.320 0.498
5 Ho 0.750 0.155 0.078
6 Ho 0.250 0.845 0.922
7 Th 0.750 0.047 0.699
8 Th 0.250 0.953 0.301
9 Te 0.750 0.484 0.620
10 Te 0.250 0.516 0.380
11 Te 0.750 0.915 0.098
12 Te 0.250 0.085 0.902
13 Te 0.750 0.392 0.063
14 Te 0.250 0.608 0.937
15 Te 0.750 0.745 0.278
16 Te 0.250 0.255 0.722
17 Te 0.750 0.116 0.469
18 Te 0.250 0.884 0.531
19 Te 0.750 0.806 0.748
20 Te 0.250 0.194 0.252

=====

Entry 13:
Compound: HoThTe4
Source: Alexandria via LeMat-Bulk
Functional: PBE
Structure: optimized geometry

Cell: 7.615 7.533 7.619 Å, 90.00 92.58 90.00°
Atoms (fractional coordinates):
1 Ho 0.500 0.000 0.500
2 Ho 0.000 0.500 0.500
3 Th 0.000 0.000 0.000
4 Th 0.500 0.500 0.000
5 Te 0.857 0.643 0.149
6 Te 0.643 0.143 0.851
7 Te 0.362 0.366 0.368
8 Te 0.138 0.866 0.632
9 Te 0.143 0.357 0.851
10 Te 0.357 0.857 0.149
11 Te 0.638 0.634 0.632
12 Te 0.862 0.134 0.368

=====

Entry 14:
Compound: HoThTe3
Source: Alexandria via LeMat-Bulk
Functional: PBE
Structure: optimized geometry

Summary:
- energy above the lowest structure with this stoichiometry (eV/atom) = 0.134

Cell: 4.497 6.223 11.772 Å, 90.00 90.00 90.00°
Atoms (fractional coordinates):
1 Ho 0.500 0.689 0.892
2 Ho 0.500 0.189 0.108
3 Th 0.000 0.689 0.354
4 Th 0.000 0.189 0.646
5 Te 0.500 0.439 0.500
6 Te 0.500 0.189 0.851
7 Te 0.000 0.689 0.732
8 Te 0.500 0.939 0.500
9 Te 0.000 0.189 0.268
10 Te 0.500 0.689 0.149

=====

Entry 15:
Compound: HoTh4Te8
Source: Alexandria via LeMat-Bulk
Functional: PBE
Structure: optimized geometry

Cell: 8.950 8.950 8.950 Å, 60.00 60.00 60.00°
Atoms (fractional coordinates):
1 Ho 0.750 0.750 0.750
2 Th 0.920 0.360 0.360
3 Th 0.360 0.920 0.360
4 Th 0.360 0.360 0.920
5 Th 0.360 0.360 0.360
6 Te 0.656 0.115 0.115
7 Te 0.115 0.656 0.115
8 Te 0.115 0.115 0.656
9 Te 0.115 0.115 0.115
10 Te 0.152 0.616 0.616
11 Te 0.616 0.152 0.616
12 Te 0.616 0.616 0.152
13 Te 0.616 0.616 0.616

=====

Entry 16:
Compound: HoThTe6
Source: Alexandria via LeMat-Bulk
Functional: PBE
Structure: optimized geometry

Cell: 13.461 13.461 4.440 Å, 90.00 90.00 161.03°
Atoms (fractional coordinates):
1 Ho 0.169 0.831 0.000
2 Th 0.830 0.170 0.500
3 Te 0.420 0.580 0.500
4 Te 0.581 0.419 0.000
5 Te 0.707 0.293 0.500
6 Te 0.292 0.708 0.000
7 Te 0.081 0.919 0.500
8 Te 0.920 0.080 0.000

=====

Entry 17:
Compound: Ho2Th2Te7
Source: Alexandria via LeMat-Bulk
Functional: PBE
Structure: optimized geometry

Cell: 4.415 9.579 9.579 Å, 61.82 76.68 76.68°
Atoms (fractional coordinates):
1 Ho 0.000 0.781 0.219
2 Ho 0.500 0.323 0.677
3 Th 0.736 0.855 0.674
4 Th 0.264 0.326 0.145
5 Te 0.820 0.066 0.294
6 Te 0.860 0.432 0.849
7 Te 0.500 0.011 0.989
8 Te 0.609 0.492 0.290
9 Te 0.391 0.710 0.508
10 Te 0.180 0.706 0.934
11 Te 0.140 0.151 0.568

=====

Entry 18:
Compound: HoThTe3
Source: Alexandria via LeMat-Bulk
Functional: PBE
Structure: optimized geometry

Summary:
- energy above the lowest structure with this stoichiometry (eV/atom) = 0.000

Cell: 4.422 7.678 11.388 Å, 90.00 101.19 90.00°
Atoms (fractional coordinates):
1 Ho 0.836 0.991 0.671
2 Ho 0.164 0.491 0.329
3 Th 0.340 0.494 0.679
4 Th 0.660 0.994 0.321
5 Te 0.915 0.314 0.829
6 Te 0.085 0.814 0.171
7 Te 0.590 0.336 0.179
8 Te 0.410 0.836 0.821
9 Te 0.749 0.660 0.499
10 Te 0.251 0.160 0.501

=====

Entry 19:
Compound: Ho2ThTe
Source: Alexandria via LeMat-Bulk
Functional: PBE
Structure: optimized geometry

Summary:
- energy above the lowest structure with this stoichiometry (eV/atom) = 0.037

Cell: 3.796 3.796 10.111 Å, 79.18 79.18 60.00°
Atoms (fractional coordinates):
1 Te 0.000 0.000 0.000
2 Ho 0.739 0.739 0.782
3 Ho 0.261 0.261 0.218
4 Th 0.500 0.500 0.500

=====

Entry 20:
Compound: Ho2ThTe
Source: Alexandria via LeMat-Bulk
Functional: PBE
Structure: optimized geometry

Summary:
- energy above the lowest structure with this stoichiometry (eV/atom) = 0.000

Cell: 3.803 3.803 8.108 Å, 90.00 90.00 90.00°
Atoms (fractional coordinates):
1 Te 0.500 0.500 0.000
2 Ho 0.000 0.000 0.776
3 Ho 0.000 0.000 0.224
4 Th 0.500 0.500 0.500

=====

| no. | formation energy from raw total energies (eV per atom) |
| --- | --- |
| 1 | -1.317 |
| 2 | -0.937 |
| 3 | -1.128 |
| 4 | -0.569 |
| 5 | 0.011 |
| 6 | 0.007 |
| 7 | -0.831 |
| 8 | -0.740 |
| 9 | -0.341 |
| 10 | -1.004 |
| 11 | -1.192 |
| 12 | -1.323 |
| 13 | -0.948 |
| 14 | -1.060 |
| 15 | -1.080 |
| 16 | -0.933 |
| 17 | -1.252 |
| 18 | -1.194 |
| 19 | -0.521 |
| 20 | -0.558 |